[1]
Computed, not measured: a PBEsol-optimized structure of NaTiIrW2 at the meta-GGA SCAN level of DFT.

a b c (Å): 4.725 4.725 4.780
angles (deg): 90.00 90.00 90.00
Space group P4/mmm (No. 123)
Symmetry-distinct sites (fractional):
1 Na 0.000 0.000 0.000 [1 per cell]
2 Ti 0.500 0.500 0.000 [1 per cell]
3 Ir 0.000 0.000 0.500 [1 per cell]
4 W 0.000 0.500 0.500 [2 per cell]

Results
- Formation energy from the elements: 1.61 eV per atom
- Total DFT energy (no corrections): -222.7 eV per formula unit
- Spin magnetization: 0.14 μB/atom
- Crystal system: tetragonal
- Density of states at the Fermi level: 6.09 states/eV/cell


[2]
Computed, not measured: a PBEsol-optimized structure of CoIr2RuC at the meta-GGA SCAN level of DFT.

a b c (Å): 4.599 4.599 3.303
angles (deg): 90.00 90.00 90.00
Space group P4/mmm (No. 123)
Symmetry-distinct sites (fractional):
1 Co 0.000 0.000 0.000 [1 per cell]
2 Ir 0.000 0.500 0.000 [2 per cell]
3 Ru 0.500 0.500 0.500 [1 per cell]
4 C 0.000 0.000 0.500 [1 per cell]

Results
- Formation energy from the elements: 1.71 eV per atom
- Total DFT energy (no corrections): -195.9 eV per formula unit
- Spin magnetization: 0.97 μB/atom
- Crystal system: tetragonal
- Density of states at the Fermi level: 4.73 states/eV/cell


[3]
Computed, not measured: a PBEsol-optimized structure of Ta2NbCrBr at the meta-GGA SCAN level of DFT.

a b c (Å): 4.666 4.666 4.668
angles (deg): 90.00 90.00 90.00
Space group P4/mmm (No. 123)
Symmetry-distinct sites (fractional):
1 Ta 0.000 0.500 0.000 [2 per cell]
2 Nb 0.000 0.000 0.500 [1 per cell]
3 Cr 0.500 0.500 0.500 [1 per cell]
4 Br 0.000 0.000 0.000 [1 per cell]

Results
- Total DFT energy (no corrections): -196.7 eV per formula unit
- Energy relative to the elements, uncorrected: 1.494 eV per atom
- Spin magnetization: 0.37 μB/atom
- Crystal system: tetragonal
- Density of states at the Fermi level: 4.42 states/eV/cell


[4]
Computed, not measured: a PBEsol-optimized structure of AlReAu at the meta-GGA SCAN level of DFT.

a b c (Å): 3.236 4.378 12.886
angles (deg): 90.00 90.00 90.00
Space group Fmm2 (No. 42)
Symmetry-distinct sites (fractional):
1 Al 0.000 0.000 0.000 [4 per cell]
2 Re 0.000 0.000 0.347 [4 per cell]
3 Au 0.000 0.000 0.661 [4 per cell]

Results
- Formation energy from the elements: 0.06 eV per atom
- Total DFT energy (no corrections): -147.8 eV per formula unit
- E above lowest polymorph: 0.000 eV per atom
- Spin magnetization: 0.00 μB/atom
- Crystal system: orthorhombic
- Density of states at the Fermi level: 6.98 states/eV/cell


[5]
Computed, not measured: a PBEsol-optimized structure of Sm2Ru2O7 at the meta-GGA SCAN level of DFT.

a b c (Å): 10.202 10.202 10.202
angles (deg): 90.00 90.00 90.00
Space group Fd-3m (No. 227, origin choice 2)
Symmetry-distinct sites (fractional):
1 Sm 0.000 0.000 0.000 [16 per cell]
2 Ru 0.000 0.000 0.500 [16 per cell]
3 O 0.081 0.375 0.875 [48 per cell]
4 O 0.125 0.125 0.125 [8 per cell]

Results
- Total DFT energy (no corrections): -228.7 eV per formula unit
- Energy relative to the elements, uncorrected: -2.416 eV per atom
- Spin magnetization: 0.36 μB/atom
- Crystal system: cubic
- Density of states at the Fermi level: 31.13 states/eV/cell


[6]
Computed, not measured: a PBEsol-optimized structure of PAu2O2 at the meta-GGA SCAN level of DFT.

a b c (Å): 3.511 3.511 10.824
angles (deg): 90.00 90.00 90.00
Space group I4/mmm (No. 139)
Symmetry-distinct sites (fractional):
1 P 0.000 0.000 0.000 [2 per cell]
2 Au 0.000 0.000 0.377 [4 per cell]
3 O 0.000 0.500 0.250 [4 per cell]

Results
- Total DFT energy (no corrections): -157.9 eV per formula unit
- Energy relative to the elements, uncorrected: 0.651 eV per atom
- Spin magnetization: 0.30 μB/atom
- Crystal system: tetragonal
- Density of states at the Fermi level: 4.84 states/eV/cell


[7]
Computed, not measured: a PBEsol-optimized structure of SrMgH3 at the meta-GGA SCAN level of DFT.

a b c (Å): 4.456 4.456 4.456
angles (deg): 90.00 90.00 90.00
Space group Pm-3m (No. 221)
Symmetry-distinct sites (fractional):
1 Sr 0.000 0.000 0.000 [1 per cell]
2 Mg 0.500 0.500 0.500 [1 per cell]
3 H 0.000 0.000 0.500 [3 per cell]

Results
- Total DFT energy (no corrections): -36.9 eV per formula unit
- Spin magnetization: 0.00 μB/atom
- Crystal system: cubic
- Density of states at the Fermi level: 1.47 states/eV/cell


[8]
Computed, not measured: a PBEsol-optimized structure of NbB3Pt at the meta-GGA SCAN level of DFT.

a b c (Å): 4.145 4.145 4.145
angles (deg): 90.00 90.00 90.00
Space group Pm-3m (No. 221)
Symmetry-distinct sites (fractional):
1 Nb 0.000 0.000 0.000 [1 per cell]
2 B 0.000 0.000 0.500 [3 per cell]
3 Pt 0.500 0.500 0.500 [1 per cell]

Results
- Formation energy from the elements: 1.89 eV per atom
- Total DFT energy (no corrections): -116.2 eV per formula unit
- Spin magnetization: 0.00 μB/atom
- Crystal system: cubic
- Density of states at the Fermi level: 2.56 states/eV/cell


[9]
Computed, not measured: a PBEsol-optimized structure of MgHN2F at the meta-GGA SCAN level of DFT.

a b c (Å): 2.900 2.900 4.521
angles (deg): 90.00 90.00 90.00
Space group P4/mmm (No. 123)
Symmetry-distinct sites (fractional):
1 Mg 0.000 0.000 0.000 [1 per cell]
2 H 0.500 0.500 0.500 [1 per cell]
3 N 0.000 0.500 0.500 [2 per cell]
4 F 0.500 0.500 0.000 [1 per cell]

Results
- Total DFT energy (no corrections): -29.4 eV per formula unit
- Spin magnetization: 0.00 μB/atom
- Crystal system: tetragonal
- Density of states at the Fermi level: 0.84 states/eV/cell


[10]
Computed, not measured: a PBEsol-optimized structure of TaAl2Tc at the meta-GGA SCAN level of DFT.

a b c (Å): 5.392 8.562 2.728
angles (deg): 90.00 105.21 90.00
Space group C2/m (No. 12)
Symmetry-distinct sites (fractional):
1 Ta 0.000 0.000 0.000 [2 per cell]
2 Al 0.250 0.250 0.500 [4 per cell]
3 Tc 0.000 0.500 0.000 [2 per cell]

Results
- Formation energy from the elements: -0.27 eV per atom
- Total DFT energy (no corrections): -118.2 eV per formula unit
- E above lowest polymorph: 0.191 eV per atom
- Spin magnetization: 0.00 μB/atom
- Crystal system: monoclinic
- Density of states at the Fermi level: 4.72 states/eV/cell